(1)
Compound: EuHg3Pd
Source: Alexandria
Functional: GGA-PBE
Structure: optimized geometry

Values from the calculation:
E: -3.50 eV/atom
energy of formation: -0.2210 eV per atom

a b c (Å): 5.252 5.252 5.252
angles (deg): 90.00 90.00 90.00
Space group Pm-3m (No. 221)
Asymmetric unit:
Eu 0.000 0.000 0.000 [1 per cell]
Hg 0.000 0.500 0.500 [3 per cell]
Pd 0.500 0.500 0.500 [1 per cell]

(2)
Compound: Eu2Hg4Pd
Source: Alexandria
Functional: GGA-PBE
Structure: optimized geometry

Values from the calculation:
E: -4.11 eV/atom
energy of formation: -0.2604 eV per atom

a b c (Å): 5.213 5.213 16.223
angles (deg): 90.00 90.00 90.00
Space group I4/mmm (No. 139)
Asymmetric unit:
Eu 0.000 0.000 0.132 [4 per cell]
Hg 0.000 0.000 0.328 [4 per cell]
Hg 0.000 0.500 0.000 [4 per cell]
Pd 0.000 0.000 0.500 [2 per cell]

(3)
Compound: PmEuHgPd
Source: Alexandria
Functional: GGA-PBE
Structure: optimized geometry

Values from the calculation:
E: -5.70 eV/atom
energy of formation: -0.5662 eV per atom

a b c (Å): 7.452 7.452 7.452
angles (deg): 90.00 90.00 90.00
Space group F-43m (No. 216)
Asymmetric unit:
Pm 0.000 0.000 0.000 [4 per cell]
Eu 0.000 0.000 0.500 [4 per cell]
Hg 0.250 0.250 0.750 [4 per cell]
Pd 0.250 0.250 0.250 [4 per cell]